## SrFeCuTc (PBE-GGA)

Data for crystalline SrFeCuTc at its relaxed geometry.

a b c (Å): 4.6277 4.6277 4.6277
angles (deg): 60.00 60.00 60.00
Element x y z (fractional)
Cu 0.7500 0.7500 0.7500
Fe 0.2500 0.2500 0.2500
Sr 0.0000 0.0000 0.0000
Tc 0.5000 0.5000 0.5000

Results
E = -5.21 eV per atom
Space group = No. 216
Distance to the lowest polymorph of the same formula = 0 meV/atom